Sm2MgSe4 (GGA-PBEsol, optimized geometry); total magnetic moment = 0.00 μB per formula unit; uncorrected formation energy = -1109 kJ/mol of formula units; space group = Fd-3m; energy relative to the lowest polymorph listed for this composition = 26 meV/atom
1.0
8.2868 0.0000 0.0000
4.1434 7.1766 0.0000
4.1434 2.3922 6.7662
Se Mg Sm
8 2 4
direct
0.3716 0.3716 0.3716 Se
0.3716 0.3716 0.8852 Se
0.3648 0.8784 0.8784 Se
0.8784 0.3648 0.8784 Se
0.8852 0.3716 0.3716 Se
0.3716 0.8852 0.3716 Se
0.8784 0.8784 0.8784 Se
0.8784 0.8784 0.3648 Se
0.5000 0.5000 0.5000 Mg
0.7500 0.7500 0.7500 Mg
0.1250 0.1250 0.6250 Sm
0.6250 0.1250 0.1250 Sm
0.1250 0.1250 0.1250 Sm
0.1250 0.6250 0.1250 Sm